Entry 1:
VASP calculation (PBE) on a geometry-optimized TePtI2F structure.

a b c (Å): 5.7170 5.7170 4.1617
angles (deg): 90.00 90.00 90.00
Space group P4/mmm (No. 123)
Symmetry-distinct sites (fractional):
Te 0.0000 0.0000 0.0000 [1 per cell]
Pt 0.5000 0.5000 0.0000 [1 per cell]
I 0.0000 0.5000 0.5000 [2 per cell]
F 0.0000 0.0000 0.5000 [1 per cell]

The uncorrected formation energy comes out at 537 meV per atom. As for the crystal system: tetragonal. As for the energy above the lowest structure with this stoichiometry: 396 meV/atom. Its total magnetization is 0.00 μB/f.u. For the density of states at the Fermi level, the calculation gives 1.53 states/eV per atom.

Entry 2:
VASP calculation (PBE) on a geometry-optimized Sr2AlNi16 structure.

a b c (Å): 8.4580 8.4580 12.2445
angles (deg): 90.00 90.00 120.00
Space group R3m (No. 160, hexagonal axes)
Symmetry-distinct sites (fractional):
Sr 0.0000 0.0000 0.0000 [3 per cell]
Sr 0.0000 0.0000 0.3064 [3 per cell]
Al 0.0000 0.0000 0.5636 [3 per cell]
Ni 0.0000 0.0000 0.7542 [3 per cell]
Ni 0.0000 0.2871 0.6560 [18 per cell]
Ni 0.0011 0.5005 0.1553 [9 per cell]
Ni 0.0088 0.5044 0.4997 [9 per cell]
Ni 0.1715 0.3431 0.1452 [9 per cell]

For the total energy, the calculation gives -5.33 eV/atom. As for the crystal system: trigonal. Its total magnetization is 6.24 μB/f.u. For the density of states at the Fermi level, the calculation gives 1.29 states/eV per atom.

Entry 3:
VASP calculation (PBE) on a geometry-optimized Tb2SiS structure.

a b c (Å): 4.0303 4.0303 20.0431
angles (deg): 90.00 90.00 120.00
Space group R-3m (No. 166, hexagonal axes)
Symmetry-distinct sites (fractional):
Tb 0.0000 0.0000 0.2503 [6 per cell]
Si 0.0000 0.0000 0.0000 [3 per cell]
S 0.0000 0.0000 0.5000 [3 per cell]

The uncorrected formation energy comes out at -1376 meV per atom. As for the crystal system: trigonal. As for the energy above the lowest structure with this stoichiometry: 43 meV/atom. Its total magnetization is 0.00 μB/f.u. For the density of states at the Fermi level, the calculation gives 0.40 states/eV per atom.

Entry 4:
VASP calculation (PBE) on a geometry-optimized TbTmIn6 structure.

a b c (Å): 4.6301 4.6301 9.2563
angles (deg): 90.00 90.00 90.00
Space group P4/mmm (No. 123)
Symmetry-distinct sites (fractional):
Tb 0.0000 0.0000 0.0000 [1 per cell]
Tm 0.0000 0.0000 0.5000 [1 per cell]
In 0.0000 0.5000 0.2523 [4 per cell]
In 0.5000 0.5000 0.0000 [1 per cell]
In 0.5000 0.5000 0.5000 [1 per cell]

As for the crystal system: tetragonal. As for the energy above the lowest structure with this stoichiometry: 0 meV/atom. Its total magnetization is 0.00 μB/f.u. For the density of states at the Fermi level, the calculation gives 0.37 states/eV per atom.